# 1
Compound: DyEr2Tm7
Source: Alexandria via LeMat-Bulk
Functional: PBE
Structure: relaxed

Properties
For the energy above the most stable polymorph in this dataset, the calculation gives 692 meV/atom. The value obtained for the calculated density is 7.5 g/cm3. Its space group is No. 65. The calculation puts the density of states at the Fermi level at 1.32 states/eV/atom.

Cell: 5.181 9.414 9.414 Å, 125.52 90.00 90.00°
Positions (direct):
Tm 0.500 0.068 0.288
Tm 0.500 0.932 0.712
Dy 0.000 0.000 0.000
Er 0.500 0.701 0.299
Tm 0.000 0.802 0.198
Tm 0.500 0.500 0.500
Tm 0.500 0.712 0.932
Tm 0.500 0.288 0.068
Tm 0.000 0.198 0.802
Er 0.500 0.299 0.701

***

# 2
Compound: DyEr5Tm5
Source: Alexandria via LeMat-Bulk
Functional: PBE
Structure: relaxed

Properties
For the energy above the most stable polymorph in this dataset, the calculation gives 146 meV/atom. The value obtained for the calculated density is 8.9 g/cm3. Its space group is No. 12. The calculation puts the density of states at the Fermi level at 1.59 states/eV/atom.

Cell: 5.818 9.750 6.823 Å, 110.21 90.00 107.36°
Positions (direct):
Dy 0.000 0.000 0.000
Er 0.821 0.642 0.575
Er 0.179 0.358 0.934
Er 0.179 0.358 0.425
Tm 0.669 0.338 0.170
Er 0.500 0.000 0.000
Er 0.821 0.642 0.066
Tm 0.331 0.662 0.830
Tm 0.376 0.752 0.374
Tm 0.624 0.248 0.626
Tm 0.000 0.000 0.500

***

# 3
Compound: Dy8Er2Tm
Source: Alexandria via LeMat-Bulk
Functional: PBE
Structure: relaxed

Properties
For the energy above the most stable polymorph in this dataset, the calculation gives 160 meV/atom. The value obtained for the calculated density is 8.6 g/cm3. Its space group is No. 12. The calculation puts the density of states at the Fermi level at 1.57 states/eV/atom.

Cell: 6.576 10.074 10.074 Å, 38.17 59.67 59.67°
Positions (direct):
Dy 0.228 0.826 0.350
Er 0.402 0.200 0.200
Dy 0.228 0.350 0.826
Dy 0.826 0.244 0.244
Dy 0.772 0.650 0.174
Dy 0.726 0.590 0.590
Tm 0.000 0.000 0.000
Dy 0.274 0.410 0.410
Dy 0.174 0.756 0.756
Er 0.598 0.800 0.800
Dy 0.772 0.174 0.650

***

# 4
Compound: DyEr4Tm
Source: Alexandria via LeMat-Bulk
Functional: PBE
Structure: relaxed

Properties
For the energy above the most stable polymorph in this dataset, the calculation gives 11 meV/atom. The value obtained for the calculated density is 9.1 g/cm3. Its space group is No. 47. The calculation puts the density of states at the Fermi level at 1.83 states/eV/atom.

Cell: 3.457 6.515 9.548 Å, 90.00 90.00 121.99°
Positions (direct):
Er 0.997 0.501 0.334
Er 0.497 0.001 0.836
Er 0.997 0.501 0.670
Tm 0.497 0.501 0.002
Dy 0.997 0.001 0.502
Er 0.497 0.001 0.167

***

# 5
Compound: Dy4Er3Tm4
Source: Alexandria via LeMat-Bulk
Functional: PBE
Structure: relaxed

Properties
For the energy above the most stable polymorph in this dataset, the calculation gives 120 meV/atom. The value obtained for the calculated density is 8.7 g/cm3. Its space group is No. 71. The calculation puts the density of states at the Fermi level at 1.37 states/eV/atom.

Cell: 3.503 11.040 10.685 Å, 121.11 99.43 90.00°
Positions (direct):
Tm 0.671 0.428 0.341
Tm 0.329 0.087 0.659
Dy 0.219 0.719 0.438
Tm 0.671 0.913 0.341
Er 0.000 0.500 0.000
Er 0.890 0.890 0.781
Tm 0.329 0.572 0.659
Dy 0.500 0.794 0.000
Dy 0.500 0.206 0.000
Er 0.110 0.110 0.219
Dy 0.781 0.281 0.562

***

# 6
Compound: Dy6Er2Tm
Source: Alexandria via LeMat-Bulk
Functional: PBE
Structure: relaxed

Properties
The value obtained for the calculated density is 8.8 g/cm3. Its space group is No. 2. The calculation puts the density of states at the Fermi level at 1.35 states/eV/atom.

Cell: 3.523 8.614 12.683 Å, 132.78 82.02 90.08°
Positions (direct):
Dy 0.778 0.110 0.444
Er 0.555 0.222 0.890
Er 0.445 0.778 0.110
Dy 0.666 0.668 0.668
Tm 0.000 0.000 0.000
Dy 0.222 0.890 0.556
Dy 0.111 0.445 0.779
Dy 0.889 0.555 0.221
Dy 0.334 0.332 0.332

***

Summary of ΔE_f in eV per atom
0.717, 0.295, 0.180, 0.077, 0.186, 0.019
(order as listed above)
Summary of magnetic moment in μB/f.u.
0.00, 0.82, 0.00, 0.00, 0.00, 0.00
(order as listed above)